The following is a DFT calculation (PBE) of DyEr2Sc3Te2Os after structural relaxation.

Cell lengths 4.002, 7.902, 7.902 Å; angles 119.82, 90.00, 90.00 degrees
Atoms (fractional coordinates):
Os 0.000 0.998 0.998
Sc 0.500 0.000 0.232
Er 0.000 0.614 0.000
Te 0.500 0.668 0.333
Er 0.000 0.000 0.614
Sc 0.500 0.768 0.768
Te 0.500 0.333 0.668
Sc 0.500 0.232 0.000
Dy 0.000 0.388 0.388

Values from the calculation:
M_tot   0.02 Bohr magnetons per cell
Symmetry   Amm2
Final energy   -6.345 eV per atom

***

The following is a DFT calculation (PBE) of Dy2ErSc3Te2Os after structural relaxation.

Cell lengths 4.018, 7.922, 7.922 Å; angles 120.18, 90.00, 90.00 degrees
Atoms (fractional coordinates):
Te 0.500 0.333 0.666
Os 0.000 0.003 0.003
Er 0.000 0.387 0.387
Sc 0.500 0.000 0.232
Sc 0.500 0.232 0.000
Te 0.500 0.666 0.333
Sc 0.500 0.769 0.769
Dy 0.000 0.611 0.000
Dy 0.000 0.000 0.611

Values from the calculation:
M_tot   0.02 Bohr magnetons per cell
Symmetry   Amm2
Final energy   -6.354 eV per atom

***

The following is a DFT calculation (PBE) of DyErSi2Os after structural relaxation.

Cell lengths 5.701, 5.701, 9.961 Å; angles 116.46, 116.46, 43.41 degrees
Atoms (fractional coordinates):
Er 0.993 0.993 0.822
Os 0.731 0.731 0.873
Si 0.357 0.357 0.940
Os 0.269 0.269 0.127
Si 0.504 0.504 0.375
Si 0.643 0.643 0.060
Dy 0.187 0.187 0.611
Dy 0.813 0.813 0.389
Er 0.007 0.007 0.178
Si 0.496 0.496 0.625

Values from the calculation:
M_tot   0.11 Bohr magnetons per cell
Symmetry   C2/m
Offset from the most stable computed form   0.00 eV/f.u.

***

The following is a DFT calculation (PBE) of DyErSi2Os after structural relaxation.

Cell lengths 5.725, 5.725, 9.958 Å; angles 116.80, 116.80, 43.24 degrees
Atoms (fractional coordinates):
Os 0.270 0.270 0.628
Dy 0.009 0.009 0.679
Si 0.503 0.503 0.876
Si 0.356 0.356 0.439
Si 0.497 0.497 0.124
Os 0.730 0.730 0.372
Er 0.185 0.185 0.111
Dy 0.991 0.991 0.321
Si 0.644 0.644 0.561
Er 0.815 0.815 0.889

Values from the calculation:
M_tot   0.19 Bohr magnetons per cell
Symmetry   C2/m
Offset from the most stable computed form   0.04 eV/f.u.

***

The following is a DFT calculation (PBE) of DyErSi4Os2 after structural relaxation.

Cell lengths 4.410, 4.083, 8.123 Å; angles 90.00, 101.83, 90.00 degrees
Atoms (fractional coordinates):
Os 0.115 0.000 0.884
Er 0.409 0.000 0.296
Si 0.037 0.000 0.589
Dy 0.589 0.500 0.702
Si 0.664 0.000 0.995
Os 0.886 0.500 0.117
Si 0.964 0.500 0.411
Si 0.337 0.500 0.006

Values from the calculation:
M_tot   0.01 Bohr magnetons per cell
Symmetry   Pm
Final energy   -7.388 eV per atom

***

The following is a DFT calculation (PBE) of DyErSn2Os after structural relaxation.

Cell lengths 5.888, 5.888, 10.954 Å; angles 113.20, 113.20, 44.21 degrees
Atoms (fractional coordinates):
Sn 0.467 0.467 0.115
Dy 0.186 0.186 0.129
Os 0.281 0.281 0.675
Er 0.998 0.998 0.329
Sn 0.344 0.344 0.451
Sn 0.656 0.656 0.549
Er 0.002 0.002 0.671
Dy 0.814 0.814 0.871
Sn 0.533 0.533 0.885
Os 0.719 0.719 0.325

Values from the calculation:
M_tot   0.01 Bohr magnetons per cell
Symmetry   C2/m
Final energy   -6.178 eV per atom

***

The following is a DFT calculation (PBE) of DyEr2Tm3Te2Os after structural relaxation.

Cell lengths 4.029, 8.179, 8.179 Å; angles 119.42, 90.00, 90.00 degrees
Atoms (fractional coordinates):
Er 0.500 0.000 0.386
Tm 0.000 0.998 0.762
Os 0.500 0.007 0.007
Dy 0.500 0.609 0.609
Tm 0.000 0.762 0.998
Er 0.500 0.386 0.000
Tm 0.000 0.240 0.240
Te 0.000 0.666 0.333
Te 0.000 0.333 0.666

Values from the calculation:
M_tot   0.00 Bohr magnetons per cell
Symmetry   Amm2
Final energy   -5.690 eV per atom

***

The following is a DFT calculation (PBE) of Dy2ErTm3Te2Os after structural relaxation.

Cell lengths 4.053, 8.230, 8.230 Å; angles 120.39, 90.00, 90.00 degrees
Atoms (fractional coordinates):
Os 0.500 0.004 0.004
Dy 0.500 0.000 0.610
Tm 0.000 0.238 0.000
Te 0.000 0.666 0.333
Dy 0.500 0.610 0.000
Tm 0.000 0.000 0.238
Er 0.500 0.387 0.387
Te 0.000 0.333 0.666
Tm 0.000 0.763 0.763

Values from the calculation:
M_tot   0.00 Bohr magnetons per cell
Symmetry   Amm2
Final energy   -5.701 eV per atom

***

The following is a DFT calculation (PBE) of Dy2Er3ZrTe2Os after structural relaxation.

Cell lengths 3.969, 8.194, 8.194 Å; angles 118.89, 90.00, 90.00 degrees
Atoms (fractional coordinates):
Te 0.500 0.669 0.338
Er 0.000 0.997 0.614
Zr 0.500 0.757 0.757
Er 0.000 0.411 0.411
Os 0.000 0.965 0.965
Dy 0.500 0.242 0.007
Dy 0.500 0.007 0.242
Te 0.500 0.338 0.669
Er 0.000 0.614 0.997

Values from the calculation:
M_tot   0.05 Bohr magnetons per cell
Symmetry   Amm2
Final energy   -6.137 eV per atom

***

The following is a DFT calculation (PBE) of DyErZr2P2 after structural relaxation.

Cell lengths 8.825, 8.825, 8.825 Å; angles 152.00, 152.00, 40.02 degrees
Atoms (fractional coordinates):
Er 0.677 0.677 0.000
P 0.866 0.866 0.000
Dy 0.323 0.323 0.000
Zr 0.500 0.000 0.500
Zr 0.000 0.500 0.500
P 0.134 0.134 0.000

Values from the calculation:
M_tot   0.03 Bohr magnetons per cell
Symmetry   I4mm
Final energy   -6.997 eV per atom

***

The following is a DFT calculation (PBE) of DyErPa after structural relaxation.

Cell lengths 5.244, 5.244, 5.244 Å; angles 60.00, 60.00, 60.00 degrees
Atoms (fractional coordinates):
Dy 0.250 0.250 0.250
Pa 0.750 0.750 0.750
Er 0.000 0.000 0.000

Values from the calculation:
M_tot   2.76 Bohr magnetons per cell
Symmetry   F-43m
DFT formation energy   1.083 eV per atom
Offset from the most stable computed form   0.00 eV/f.u.

***

The following is a DFT calculation (PBE) of DyErPb4 after structural relaxation.

Cell lengths 3.302, 10.121, 10.121 Å; angles 36.30, 90.00, 90.00 degrees
Atoms (fractional coordinates):
Pb 0.000 0.755 0.755
Pb 0.000 0.245 0.245
Dy 0.000 0.409 0.409
Pb 0.000 0.084 0.084
Pb 0.000 0.918 0.918
Er 0.000 0.590 0.590

Values from the calculation:
M_tot   0.01 Bohr magnetons per cell
Symmetry   Amm2
Final energy   -3.769 eV per atom